Entry 1:
# Si2HgPb

A PBEsol-optimized structure of Si2HgPb (meta-GGA SCAN, Alexandria).

As for the space-group type: I-4m2. The energy relative to the elements, uncorrected comes out at 0.75 eV/atom. The value obtained for the relative energy among the computed polymorphs is 145 meV/atom.

a = 5.5886 Å, b = 5.5886 Å, c = 5.5886 Å
α = 135.29°, β = 135.29°, γ = 65.07°
Last column: nearest neighbours and their distance in Å.
Element x y z (fractional)
1 Si 0.0000 0.0000 0.0000  4 Hg 3.01, 4 Pb 3.17, 4 Si 3.17
2 Si 0.7500 0.2500 0.5000  4 Pb 3.01, 4 Hg 3.17, 4 Si 3.17
3 Hg 0.5000 0.5000 0.0000  8 Si 3.01-3.17, 4 Pb 3.17
4 Pb 0.2500 0.7500 0.5000  8 Si 3.01-3.17, 4 Hg 3.17

Entry 2:
# SiHgPb

A PBEsol-optimized structure of SiHgPb (meta-GGA SCAN, Alexandria).

As for the space-group type: P3m1. The energy relative to the elements, uncorrected comes out at 0.35 eV/atom. The value obtained for the relative energy among the computed polymorphs is 0 meV/atom.

a = 4.1347 Å, b = 4.1347 Å, c = 4.8587 Å
α = 90.00°, β = 90.00°, γ = 120.00°
Last column: nearest neighbours and their distance in Å.
Element x y z (fractional)
1 Si 0.0000 0.0000 0.0000  3 Hg 2.62, 3 Pb 2.93
2 Hg 0.3333 0.6667 0.7791  3 Si 2.62
3 Pb 0.6667 0.3333 0.3496  3 Si 2.93, 3 Hg 3.17

Entry 3:
# Sn2HgPb

A PBEsol-optimized structure of Sn2HgPb (meta-GGA SCAN, Alexandria).

As for the space-group type: Fm-3m. The calculation puts the calculated formation energy at 168 meV/atom. The value obtained for the relative energy among the computed polymorphs is 60 meV/atom.

a = 5.2912 Å, b = 5.2912 Å, c = 5.2912 Å
α = 60.00°, β = 60.00°, γ = 60.00°
Last column: nearest neighbours and their distance in Å.
Element x y z (fractional)
1 Sn 0.2500 0.2500 0.2500  4 Pb 3.24, 4 Hg 3.24
2 Sn 0.7500 0.7500 0.7500  4 Hg 3.24, 4 Pb 3.24
3 Hg 0.0000 0.0000 0.0000  8 Sn 3.24
4 Pb 0.5000 0.5000 0.5000  8 Sn 3.24

Entry 4:
# Sn2Hg2Pb

A PBEsol-optimized structure of Sn2Hg2Pb (meta-GGA SCAN, Alexandria).

As for the space-group type: P4/mbm. The calculation puts the calculated formation energy at 152 meV/atom.

a = 8.5035 Å, b = 8.5035 Å, c = 3.5683 Å
α = 90.00°, β = 90.00°, γ = 90.00°
Last column: nearest neighbours and their distance in Å.
Element x y z (fractional)
1 Sn 0.1617 0.3383 0.0000  6 Hg 3.00-3.11
2 Sn 0.3383 0.8383 0.0000  6 Hg 3.00-3.11
3 Sn 0.6617 0.1617 0.0000  6 Hg 3.00-3.11
4 Sn 0.8383 0.6617 0.0000  6 Hg 3.00-3.11
5 Hg 0.1375 0.6375 0.5000  6 Sn 3.00-3.11, 2 Pb 3.30, 1 Hg 3.31
6 Hg 0.3625 0.1375 0.5000  6 Sn 3.00-3.11, 2 Pb 3.30, 1 Hg 3.31
7 Hg 0.6375 0.8625 0.5000  6 Sn 3.00-3.11, 2 Pb 3.30, 1 Hg 3.31
8 Hg 0.8625 0.3625 0.5000  6 Sn 3.00-3.11, 2 Pb 3.30, 1 Hg 3.31
9 Pb 0.0000 0.0000 0.5000  4 Hg 3.30, 2 Pb 3.57, 8 Sn 3.65
10 Pb 0.5000 0.5000 0.5000  4 Hg 3.30, 2 Pb 3.57, 8 Sn 3.65

Entry 5:
# Sn2HgPb

A PBEsol-optimized structure of Sn2HgPb (meta-GGA SCAN, Alexandria).

As for the space-group type: I-42d. The calculation puts the calculated formation energy at 108 meV/atom. The value obtained for the relative energy among the computed polymorphs is 0 meV/atom.

a = 11.6573 Å, b = 11.6573 Å, c = 11.6573 Å
α = 158.26°, β = 158.26°, γ = 30.93°
Last column: nearest neighbours and their distance in Å.
Element x y z (fractional)
1 Sn 0.1163 0.6250 0.9913  4 Sn 3.05-3.16, 2 Hg 3.20, 2 Pb 3.22
2 Sn 0.3750 0.3663 0.4913  4 Sn 3.05-3.16, 2 Hg 3.20, 2 Pb 3.22
3 Sn 0.6337 0.1250 0.0087  4 Sn 3.05-3.16, 2 Hg 3.20, 2 Pb 3.22
4 Sn 0.8750 0.8837 0.5087  4 Sn 3.05-3.16, 2 Hg 3.20, 2 Pb 3.22
5 Hg 0.0000 0.0000 0.0000  4 Pb 3.11, 4 Sn 3.20
6 Hg 0.7500 0.2500 0.5000  4 Pb 3.11, 4 Sn 3.20
7 Pb 0.2500 0.7500 0.5000  4 Hg 3.11, 4 Sn 3.22
8 Pb 0.5000 0.5000 0.0000  4 Hg 3.11, 4 Sn 3.22

Entry 6:
# Sr2HgPb

A PBEsol-optimized structure of Sr2HgPb (meta-GGA SCAN, Alexandria).

As for the space-group type: Fm-3m. The calculation puts the calculated formation energy at -811 meV/atom.

a = 5.6363 Å, b = 5.6363 Å, c = 5.6363 Å
α = 60.00°, β = 60.00°, γ = 60.00°
Last column: nearest neighbours and their distance in Å.
Element x y z (fractional)
1 Sr 0.2500 0.2500 0.2500  4 Pb 3.45, 4 Hg 3.45
2 Sr 0.7500 0.7500 0.7500  4 Pb 3.45, 4 Hg 3.45
3 Hg 0.0000 0.0000 0.0000  8 Sr 3.45
4 Pb 0.5000 0.5000 0.5000  8 Sr 3.45

Entry 7:
# Sr2HgPb

A PBEsol-optimized structure of Sr2HgPb (meta-GGA SCAN, Alexandria).

As for the space-group type: Pmm2. The calculation puts the calculated formation energy at -765 meV/atom.

a = 4.0267 Å, b = 5.6080 Å, c = 5.6085 Å
α = 90.00°, β = 90.00°, γ = 90.00°
Last column: nearest neighbours and their distance in Å.
Element x y z (fractional)
1 Sr 0.0000 0.0000 0.0000  4 Hg 3.45, 4 Pb 3.45
2 Sr 0.0000 0.5000 0.4990  4 Pb 3.45, 4 Hg 3.45
3 Hg 0.5000 0.0000 0.5006  8 Sr 3.45
4 Pb 0.5000 0.5000 0.9984  8 Sr 3.45

Entry 8:
# Sr2ZrHgPb

A PBEsol-optimized structure of Sr2ZrHgPb (meta-GGA SCAN, Alexandria).

As for the space-group type: P4/mmm. The calculation puts the calculated formation energy at 406 meV/atom.

a = 5.9213 Å, b = 5.9213 Å, c = 5.5118 Å
α = 90.00°, β = 90.00°, γ = 90.00°
Last column: nearest neighbours and their distance in Å.
Element x y z (fractional)
1 Sr 0.0000 0.5000 0.0000  2 Hg 2.96
2 Sr 0.5000 0.0000 0.0000  2 Hg 2.96
3 Zr 0.0000 0.0000 0.5000  8 Sr 4.04, 4 Pb 4.19
4 Hg 0.5000 0.5000 0.0000  2 Pb 2.76, 4 Sr 2.96
5 Pb 0.5000 0.5000 0.5000  2 Hg 2.76

Entry 9:
# TaHgPb2

A PBEsol-optimized structure of TaHgPb2 (meta-GGA SCAN, Alexandria).

As for the space-group type: I4/mmm. The calculation puts the calculated formation energy at 621 meV/atom.

a = 5.5818 Å, b = 5.5818 Å, c = 5.5818 Å
α = 133.24°, β = 133.24°, γ = 68.28°
Last column: nearest neighbours and their distance in Å.
Element x y z (fractional)
1 Ta 0.0000 0.0000 0.0000  4 Hg 3.13, 8 Pb 3.20
2 Hg 0.5000 0.5000 0.0000  4 Ta 3.13, 8 Pb 3.20
3 Pb 0.2500 0.7500 0.5000  4 Pb 3.13, 4 Hg 3.20, 4 Ta 3.20
4 Pb 0.7500 0.2500 0.5000  4 Pb 3.13, 4 Hg 3.20, 4 Ta 3.20

Entry 10:
# TaHgPb2

A PBEsol-optimized structure of TaHgPb2 (meta-GGA SCAN, Alexandria).

As for the space-group type: Pmm2. The calculation puts the calculated formation energy at 456 meV/atom.

a = 3.0985 Å, b = 4.1231 Å, c = 7.5146 Å
α = 90.00°, β = 90.00°, γ = 90.00°
Last column: nearest neighbours and their distance in Å.
Element x y z (fractional)
1 Ta 0.0000 0.0000 0.0000  4 Hg 2.92, 2 Ta 3.10, 5 Pb 3.12-3.22
2 Hg 0.5000 0.5000 0.1822  4 Ta 2.92, 2 Hg 3.10, 5 Pb 3.12-3.18
3 Pb 0.0000 0.0000 0.4291  2 Pb 3.10, 4 Hg 3.18, 1 Ta 3.22
4 Pb 0.5000 0.5000 0.7667  2 Pb 3.10, 4 Ta 3.12, 1 Hg 3.12

Entry 11:
# TaHgPb2

A PBEsol-optimized structure of TaHgPb2 (meta-GGA SCAN, Alexandria).

As for the space-group type: C2/m. The calculation puts the calculated formation energy at 515 meV/atom.

a = 5.5982 Å, b = 5.5982 Å, c = 5.5451 Å
α = 96.41°, β = 96.41°, γ = 32.08°
Last column: nearest neighbours and their distance in Å.
Element x y z (fractional)
1 Ta 0.0000 0.0000 0.0000  2 Ta 3.09, 6 Pb 3.14-3.26, 4 Hg 3.17
2 Hg 0.5000 0.5000 0.5000  6 Pb 3.08-3.39, 2 Hg 3.09, 4 Ta 3.17
3 Pb 0.2627 0.2627 0.7609  3 Hg 3.08-3.39, 6 Pb 3.09-3.26, 3 Ta 3.14-3.26
4 Pb 0.7373 0.7373 0.2391  3 Hg 3.08-3.39, 6 Pb 3.09-3.26, 3 Ta 3.14-3.26

Entry 12:
# TaHgPb2

A PBEsol-optimized structure of TaHgPb2 (meta-GGA SCAN, Alexandria).

As for the space-group type: P4/mmm. The calculation puts the calculated formation energy at 546 meV/atom.

a = 5.3810 Å, b = 5.3810 Å, c = 3.1520 Å
α = 90.00°, β = 90.00°, γ = 90.00°
Last column: nearest neighbours and their distance in Å.
Element x y z (fractional)
1 Ta 0.0000 0.0000 0.0000  8 Pb 3.12, 2 Ta 3.15
2 Hg 0.5000 0.5000 0.0000  8 Pb 3.12, 2 Hg 3.15
3 Pb 0.0000 0.5000 0.5000  4 Hg 3.12, 4 Ta 3.12, 2 Pb 3.15
4 Pb 0.5000 0.0000 0.5000  4 Hg 3.12, 4 Ta 3.12, 2 Pb 3.15

| no. | calculated volume (Å³ per atom) | density of states at the Fermi level (states/eV per cell) |
| --- | --- | --- |
| 1 | 21.28 | 1.702 |
| 2 | 23.98 | 1.309 |
| 3 | 26.19 | 2.395 |
| 4 | 25.80 | 4.303 |
| 5 | 27.14 | 3.471 |
| 6 | 31.65 | 0.127 |
| 7 | 31.66 | 1.449 |
| 8 | 38.65 | 4.036 |
| 9 | 22.67 | 1.918 |
| 10 | 24.00 | 2.458 |
| 11 | 22.92 | 2.120 |
| 12 | 22.82 | 2.376 |